DFT (PBE-GGA) results for Rb2NaHgBr6 after structural relaxation.

```
data_Rb2NaHgBr6
_cell_length_a 7.6771
_cell_length_b 7.6771
_cell_length_c 11.8068
_cell_angle_alpha 90.00
_cell_angle_beta 90.00
_cell_angle_gamma 90.00
_symmetry_space_group_name_H-M 'I 4/m'
_symmetry_Int_Tables_number 87
_symmetry_space_group_name_Hall '-I 4'
loop_
_atom_site_label
_atom_site_type_symbol
_atom_site_fract_x
_atom_site_fract_y
_atom_site_fract_z
Rb1 Rb 0.0000 0.5000 0.2500
Na1 Na 0.0000 0.0000 0.0000
Hg1 Hg 0.0000 0.0000 0.5000
Br1 Br 0.0000 0.0000 0.2554
Br2 Br 0.1723 0.6858 0.5000
```

Values from the calculation:
raw total energy: -48.31 eV/cell